1.
Na3HfU2S6: relaxed, GGA-PBE.

extended XYZ file:
```
12
Lattice="6.661 -0.002 -0.001 -3.330 5.768 -0.001 -1.112 -1.925 6.816" Properties=species:S:1:pos:R:3 pbc="T T T"
Na -2.205 3.835 3.407
Na 4.423 0.007 3.407
Na 1.109 1.921 3.407
S 0.109 3.842 5.255
S 3.273 2.014 5.255
S 2.109 0.000 1.559
S -0.057 -0.099 5.266
S -1.054 1.827 1.559
S 2.276 3.941 1.548
U -0.001 3.846 -0.001
U 3.331 1.921 -0.001
Hf 0.000 0.000 0.000
```

The calculation puts the total energy at -6.478 eV per atom.


2.
Ca2LaMn: relaxed, GGA-PBE.

extended XYZ file:
```
4
Lattice="6.467 -0.054 0.000 2.913 5.774 0.000 -4.690 -2.860 3.413" Properties=species:S:1:pos:R:3 pbc="T T T"
Mn 3.234 -0.027 1.707
Ca 0.000 0.000 0.000
Ca 4.690 2.860 0.000
La 1.457 2.887 1.707
```

The value obtained for the excess energy over the best structure of this formula in the dataset is 210 meV/atom.